1.
MgPaTl | GGA-PBE | relaxed

Lattice parameters (Å, degrees): 3.1531 3.1531 14.9195 90.00 90.00 90.00
With the nearest neighbours (Å) after each atom.
Element x y z (fractional)
Mg (0.0000, 0.0000, 0.0000)  4 Mg 3.15, 4 Tl 3.23, 4 Pa 3.37
Mg (0.5000, 0.5000, 0.5000)  4 Mg 3.15, 4 Tl 3.23, 4 Pa 3.37
Pa (0.0000, 0.0000, 0.6694)  4 Pa 3.15, 4 Mg 3.37, 4 Tl 3.42
Pa (0.5000, 0.5000, 0.1694)  4 Pa 3.15, 4 Mg 3.37, 4 Tl 3.42
Tl (0.0000, 0.0000, 0.3433)  4 Tl 3.15, 4 Mg 3.23, 4 Pa 3.42
Tl (0.5000, 0.5000, 0.8433)  4 Tl 3.15, 4 Mg 3.23, 4 Pa 3.42

Properties
crystal system	tetragonal
ΔH_f (0 K)	0.187	eV per atom
distance to the lowest polymorph of the same formula	0.0	meV per atom

---

2.
ScSbSe2 | GGA-PBE | relaxed

Lattice parameters (Å, degrees): 3.9782 3.9782 25.9517 90.00 90.00 120.00
With the nearest neighbours (Å) after each atom.
Element x y z (fractional)
Sc (0.0000, 0.0000, 0.0000)  2 Se 2.62
Sc (0.3333, 0.6667, 0.6667)  2 Se 2.62
Sc (0.6667, 0.3333, 0.3333)  2 Se 2.62
Sb (0.0000, 0.0000, 0.5000)  6 Se 2.86
Sb (0.3333, 0.6667, 0.1667)  6 Se 2.86
Sb (0.6667, 0.3333, 0.8333)  6 Se 2.86
Se (0.0000, 0.0000, 0.1010)  1 Sc 2.62, 3 Sb 2.86
Se (0.0000, 0.0000, 0.8990)  1 Sc 2.62, 3 Sb 2.86
Se (0.3333, 0.6667, 0.5657)  1 Sc 2.62, 3 Sb 2.86
Se (0.3333, 0.6667, 0.7676)  1 Sc 2.62, 3 Sb 2.86
Se (0.6667, 0.3333, 0.2324)  1 Sc 2.62, 3 Sb 2.86
Se (0.6667, 0.3333, 0.4343)  1 Sc 2.62, 3 Sb 2.86

Properties
crystal system	trigonal
E_form (uncorrected)	-0.224	eV/atom

---

3.
Y2FeNi | GGA-PBE | relaxed

Lattice parameters (Å, degrees): 6.6944 6.6944 6.6944 90.00 90.00 90.00
With the nearest neighbours (Å) after each atom.
Element x y z (fractional)
Y (0.0000, 0.0000, 0.0000)  4 Fe 2.90, 4 Y 2.90
Y (0.0000, 0.5000, 0.5000)  4 Y 2.90, 4 Fe 2.90
Y (0.2500, 0.2500, 0.2500)  4 Ni 2.90, 4 Y 2.90
Y (0.2500, 0.7500, 0.7500)  4 Ni 2.90, 4 Y 2.90
Y (0.5000, 0.0000, 0.5000)  4 Y 2.90, 4 Fe 2.90
Y (0.5000, 0.5000, 0.0000)  4 Y 2.90, 4 Fe 2.90
Y (0.7500, 0.2500, 0.7500)  4 Ni 2.90, 4 Y 2.90
Y (0.7500, 0.7500, 0.2500)  4 Ni 2.90, 4 Y 2.90
Fe (0.2500, 0.2500, 0.7500)  4 Ni 2.90, 4 Y 2.90
Fe (0.2500, 0.7500, 0.2500)  4 Ni 2.90, 4 Y 2.90
Fe (0.7500, 0.2500, 0.2500)  4 Ni 2.90, 4 Y 2.90
Fe (0.7500, 0.7500, 0.7500)  4 Ni 2.90, 4 Y 2.90
Ni (0.0000, 0.0000, 0.5000)  4 Fe 2.90, 4 Y 2.90
Ni (0.0000, 0.5000, 0.0000)  4 Fe 2.90, 4 Y 2.90
Ni (0.5000, 0.0000, 0.0000)  4 Fe 2.90, 4 Y 2.90
Ni (0.5000, 0.5000, 0.5000)  4 Fe 2.90, 4 Y 2.90

Properties
crystal system	cubic
ΔH_f (0 K)	0.283	eV per atom

---

Number 1: DOS at the Fermi energy 8.97 states/eV/cell. Number 2: DOS at the Fermi energy 4.89 states/eV/cell. Number 3: DOS at the Fermi energy 28.19 states/eV/cell.